Entry 1:
Compound: PrHo7Er5
Source: the Alexandria database
Functional: PBE
Structure: optimized geometry

a b c (Å): 8.6406 8.6406 8.6406
angles (deg): 134.71 100.46 96.60
With the nearest neighbours (Å) after each atom.
Positions (direct):
Pr 0.0000 0.0000 0.0000  7 Ho 3.48-3.87, 4 Er 3.77
Ho 0.2213 0.5510 0.6703  5 Er 3.44-3.45, 5 Ho 3.48-3.77
Ho 0.3026 0.3026 0.0000  6 Er 3.33-3.47, 1 Pr 3.48, 1 Ho 3.52
Ho 0.3792 0.0507 0.3285  4 Ho 3.40-3.79, 5 Er 3.42-3.45, 1 Pr 3.68
Ho 0.6088 0.6088 0.0000  7 Ho 3.52-3.89, 4 Er 3.71
Ho 0.7221 0.0507 0.6715  4 Ho 3.40-3.79, 5 Er 3.42-3.45, 1 Pr 3.68
Ho 0.7966 0.2966 0.5000  4 Er 3.09, 2 Ho 3.40
Ho 0.8807 0.5510 0.3297  5 Er 3.44-3.45, 5 Ho 3.48-3.77
Er 0.0300 0.0347 0.4646  5 Ho 3.09-3.45, 2 Er 3.12-3.37
Er 0.0300 0.5654 0.9952  5 Ho 3.09-3.45, 2 Er 3.12-3.37
Er 0.3029 0.8029 0.5000  6 Ho 3.33-3.45, 4 Er 3.37
Er 0.5701 0.0347 0.0048  5 Ho 3.09-3.45, 2 Er 3.12-3.37
Er 0.5701 0.5654 0.5354  5 Ho 3.09-3.45, 2 Er 3.12-3.37

Properties
SG: Imm2, No. 44
V (A^3/atom): 32.522
Energy of formation (eV per atom): 0.25



Entry 2:
Compound: PrHoEr
Source: the Alexandria database
Functional: PBE
Structure: optimized geometry

a b c (Å): 11.8519 3.5955 10.1038
angles (deg): 90.00 115.26 90.00
With the nearest neighbours (Å) after each atom.
Positions (direct):
Pr 0.9999 0.0000 0.2503  5 Ho 3.55-3.59, 5 Er 3.56-3.59, 2 Pr 3.60
Pr 0.0001 0.0000 0.7497  5 Ho 3.55-3.59, 5 Er 3.56-3.59, 2 Pr 3.60
Pr 0.4999 0.5000 0.2503  5 Ho 3.55-3.59, 5 Er 3.56-3.59, 2 Pr 3.60
Pr 0.5001 0.5000 0.7497  5 Ho 3.55-3.59, 5 Er 3.56-3.59, 2 Pr 3.60
Ho 0.1685 0.5000 0.0846  5 Pr 3.55-3.59, 2 Er 3.56, 5 Ho 3.57-3.61
Ho 0.3315 0.0000 0.9154  5 Pr 3.55-3.59, 2 Er 3.56, 5 Ho 3.57-3.61
Ho 0.6685 0.0000 0.0846  5 Pr 3.55-3.59, 2 Er 3.56, 5 Ho 3.57-3.61
Ho 0.8315 0.5000 0.9154  5 Pr 3.55-3.59, 2 Er 3.56, 5 Ho 3.57-3.61
Er 0.1683 0.5000 0.5836  5 Er 3.55-3.61, 5 Pr 3.56-3.59, 2 Ho 3.56
Er 0.3317 0.0000 0.4164  5 Er 3.55-3.61, 5 Pr 3.56-3.59, 2 Ho 3.56
Er 0.6683 0.0000 0.5836  5 Er 3.55-3.61, 5 Pr 3.56-3.59, 2 Ho 3.56
Er 0.8317 0.5000 0.4164  5 Er 3.55-3.61, 5 Pr 3.56-3.59, 2 Ho 3.56

Properties
SG: C2/m, No. 12
Energy above the most stable polymorph in this dataset (eV/f.u.): 0.00
V (A^3/atom): 32.448
Energy of formation (eV per atom): 0.02



Entry 3:
Compound: Pr2Ho3Er5
Source: the Alexandria database
Functional: PBE
Structure: optimized geometry

a b c (Å): 12.2807 12.2807 12.2807
angles (deg): 135.09 56.15 148.07
With the nearest neighbours (Å) after each atom.
Positions (direct):
Pr 0.1254 0.1049 0.2302  1 Er 2.90
Pr 0.3746 0.6049 0.9795  1 Er 2.90
Pr 0.6254 0.3951 0.0205  1 Er 2.90
Pr 0.8746 0.8951 0.7698  1 Er 2.90
Ho 0.1260 0.7490 0.8750  1 Er 3.14, 1 Pr 3.34
Ho 0.2500 0.2500 0.0000  4 Pr 3.35, 2 Ho 3.38
Ho 0.3740 0.2490 0.6230  1 Er 3.14, 1 Pr 3.34
Ho 0.6260 0.7510 0.3770  1 Er 3.14, 1 Pr 3.34
Ho 0.7500 0.7500 0.0000  4 Pr 3.35, 2 Ho 3.38
Ho 0.8740 0.2510 0.1250  1 Er 3.14, 1 Pr 3.34
Er 0.0020 0.7500 0.2520  4 Er 3.27-3.38, 2 Pr 3.37
Er 0.1244 0.4143 0.5387  1 Pr 2.90, 1 Ho 3.14
Er 0.2500 0.7500 0.5000  6 Er 3.28-3.38
Er 0.3756 0.9143 0.2899  1 Pr 2.90, 1 Ho 3.14
Er 0.4980 0.7500 0.7480  4 Er 3.27-3.38, 2 Pr 3.37
Er 0.5020 0.2500 0.2520  4 Er 3.27-3.38, 2 Pr 3.37
Er 0.6244 0.0857 0.7101  1 Pr 2.90, 1 Ho 3.14
Er 0.7500 0.2500 0.5000  6 Er 3.28-3.38
Er 0.8756 0.5857 0.4613  1 Pr 2.90, 1 Ho 3.14
Er 0.9980 0.2500 0.7480  4 Er 3.27-3.38, 2 Pr 3.37

Properties
SG: Ibam, No. 72
Energy above the most stable polymorph in this dataset (eV/f.u.): 2.25
V (A^3/atom): 34.332
Energy of formation (eV per atom): 0.42



Entry 4:
Compound: PrHo8Er3
Source: the Alexandria database
Functional: PBE
Structure: optimized geometry

a b c (Å): 8.4063 8.4063 8.4063
angles (deg): 99.75 96.17 136.33
With the nearest neighbours (Å) after each atom.
Positions (direct):
Pr 0.0000 0.0000 0.0000  2 Er 3.51, 10 Ho 3.52-3.63
Ho 0.9997 0.3346 0.3350  7 Ho 3.47-3.62, 4 Er 3.47-3.61, 1 Pr 3.63
Ho 0.9997 0.6647 0.6650  7 Ho 3.47-3.62, 4 Er 3.47-3.61, 1 Pr 3.63
Ho 0.4195 0.0004 0.0851  7 Ho 3.47-3.62, 4 Er 3.48-3.62, 1 Pr 3.52
Ho 0.4195 0.3344 0.4191  7 Ho 3.47-3.62, 4 Er 3.48-3.62, 1 Pr 3.52
Ho 0.4989 0.3307 0.8318  7 Ho 3.47-3.64, 3 Er 3.52-3.60, 2 Pr 3.61-3.62
Ho 0.4989 0.6670 0.1682  7 Ho 3.47-3.64, 3 Er 3.52-3.60, 2 Pr 3.61-3.62
Ho 0.9153 0.0004 0.5809  7 Ho 3.47-3.62, 4 Er 3.48-3.62, 1 Pr 3.52
Ho 0.9153 0.3344 0.9149  7 Ho 3.47-3.62, 4 Er 3.48-3.62, 1 Pr 3.52
Er 0.4147 0.6662 0.7485  10 Ho 3.47-3.62, 1 Er 3.48, 1 Pr 3.51
Er 0.4986 0.9986 0.5000  2 Er 3.48, 10 Ho 3.48-3.61
Er 0.9178 0.6662 0.2515  10 Ho 3.47-3.62, 1 Er 3.48, 1 Pr 3.51

Properties
SG: Imm2, No. 44
V (A^3/atom): 31.711
Energy of formation (eV per atom): 0.01



Entry 5:
Compound: Pr3Ho2Er7
Source: the Alexandria database
Functional: PBE
Structure: optimized geometry

a b c (Å): 6.3256 3.5259 17.5032
angles (deg): 90.00 96.34 90.00
With the nearest neighbours (Å) after each atom.
Positions (direct):
Pr 0.0000 0.0000 0.0000  2 Pr 3.53, 10 Er 3.55-3.62
Pr 0.0463 0.5000 0.6587  2 Pr 3.53, 4 Ho 3.61-3.65, 7 Er 3.63-3.70
Pr 0.9537 0.5000 0.3413  2 Pr 3.53, 4 Ho 3.61-3.65, 7 Er 3.63-3.70
Ho 0.4451 0.0000 0.3258  5 Er 3.42-3.47, 2 Ho 3.53, 4 Pr 3.61-3.65
Ho 0.5549 0.0000 0.6742  5 Er 3.42-3.47, 2 Ho 3.53, 4 Pr 3.61-3.65
Er 0.2310 0.5000 0.1656  2 Ho 3.46, 7 Er 3.52-3.66, 3 Pr 3.57-3.70
Er 0.2477 0.0000 0.5001  2 Er 3.13-3.19, 2 Ho 3.42-3.43
Er 0.2766 0.0000 0.8344  1 Ho 3.47, 8 Er 3.53-3.66, 3 Pr 3.55-3.70
Er 0.5000 0.5000 0.0000  8 Er 3.52-3.55, 4 Pr 3.62
Er 0.7234 0.0000 0.1656  1 Ho 3.47, 8 Er 3.53-3.66, 3 Pr 3.55-3.70
Er 0.7523 0.0000 0.4999  2 Er 3.13-3.19, 2 Ho 3.42-3.43
Er 0.7690 0.5000 0.8344  2 Ho 3.46, 7 Er 3.52-3.66, 3 Pr 3.57-3.70

Properties
SG: P2/m, No. 10
Energy above the most stable polymorph in this dataset (eV/f.u.): 0.03
V (A^3/atom): 32.333
Energy of formation (eV per atom): 0.09



Entry 6:
Compound: Pr8Ho2Er3
Source: the Alexandria database
Functional: PBE
Structure: optimized geometry

a b c (Å): 10.9432 10.9432 5.7612
angles (deg): 90.03 90.03 41.55
With the nearest neighbours (Å) after each atom.
Positions (direct):
Pr 0.0982 0.6908 0.9999  1 Er 3.15, 1 Pr 3.16
Pr 0.1743 0.1743 0.5009  2 Ho 3.38, 4 Pr 3.57-3.58
Pr 0.3092 0.9018 0.0001  1 Er 3.15, 1 Pr 3.16
Pr 0.3700 0.3700 0.5008  2 Er 3.46, 2 Ho 3.64-3.65, 4 Pr 3.72
Pr 0.6300 0.6300 0.4992  2 Er 3.46, 2 Ho 3.64-3.65, 4 Pr 3.72
Pr 0.6908 0.0982 0.9999  1 Er 3.15, 1 Pr 3.16
Pr 0.8257 0.8257 0.4991  2 Ho 3.38, 4 Pr 3.57-3.58
Pr 0.9018 0.3092 0.0001  1 Er 3.15, 1 Pr 3.16
Ho 0.2608 0.2608 0.0013  8 Pr 3.38-3.65
Ho 0.7392 0.7392 0.9987  8 Pr 3.38-3.65
Er 0.2142 0.7858 0.5000  3 Er 3.33-3.64, 6 Pr 3.46-3.60
Er 0.5000 0.5000 0.0000  4 Pr 3.15
Er 0.7858 0.2142 0.5000  3 Er 3.33-3.64, 6 Pr 3.46-3.60

Properties
SG: C2/m, No. 12
V (A^3/atom): 35.201
Energy of formation (eV per atom): 0.20



Entry 7:
Compound: Pr2Ho9Er
Source: the Alexandria database
Functional: PBE
Structure: optimized geometry

a b c (Å): 5.0268 5.0268 15.0753
angles (deg): 90.00 90.00 90.00
With the nearest neighbours (Å) after each atom.
Positions (direct):
Pr 0.0000 0.0000 0.1674  12 Ho 3.55-3.58
Pr 0.0000 0.0000 0.8326  12 Ho 3.55-3.58
Ho 0.0000 0.5000 0.0000  8 Ho 3.55-3.57, 4 Pr 3.56
Ho 0.0000 0.5000 0.3363  8 Ho 3.52-3.57, 2 Er 3.52, 2 Pr 3.58
Ho 0.0000 0.5000 0.6637  8 Ho 3.52-3.57, 2 Er 3.52, 2 Pr 3.58
Ho 0.5000 0.0000 0.0000  8 Ho 3.55-3.57, 4 Pr 3.56
Ho 0.5000 0.0000 0.3363  8 Ho 3.52-3.57, 2 Er 3.52, 2 Pr 3.58
Ho 0.5000 0.0000 0.6637  8 Ho 3.52-3.57, 2 Er 3.52, 2 Pr 3.58
Ho 0.5000 0.5000 0.1685  4 Pr 3.55, 8 Ho 3.57
Ho 0.5000 0.5000 0.5000  8 Ho 3.52, 4 Er 3.55
Ho 0.5000 0.5000 0.8315  4 Pr 3.55, 8 Ho 3.57
Er 0.0000 0.0000 0.5000  12 Ho 3.52-3.55

Properties
SG: P4/mmm, No. 123
Energy above the most stable polymorph in this dataset (eV/f.u.): 0.00
V (A^3/atom): 31.745
Energy of formation (eV per atom): 0.02



Entry 8:
Compound: Pr3HoEr
Source: the Alexandria database
Functional: PBE
Structure: optimized geometry

a b c (Å): 6.8709 3.3973 14.8847
angles (deg): 90.00 90.00 90.00
With the nearest neighbours (Å) after each atom.
Positions (direct):
Pr 0.0000 0.0000 0.0000  2 Er 3.39, 4 Pr 3.40-3.44, 4 Ho 3.77
Pr 0.0081 0.0000 0.3860  5 Pr 3.32-3.55, 1 Er 3.33, 2 Ho 3.71
Pr 0.4919 0.0000 0.3860  5 Pr 3.32-3.55, 1 Er 3.33, 2 Ho 3.71
Pr 0.5000 0.0000 0.0000  2 Er 3.39, 4 Pr 3.40-3.44, 4 Ho 3.77
Pr 0.5081 0.0000 0.6140  5 Pr 3.32-3.55, 1 Er 3.33, 2 Ho 3.71
Pr 0.9919 0.0000 0.6140  5 Pr 3.32-3.55, 1 Er 3.33, 2 Ho 3.71
Ho 0.2500 0.5000 0.1945  2 Ho 3.40, 8 Pr 3.71-3.77
Ho 0.7500 0.5000 0.8055  2 Ho 3.40, 8 Pr 3.71-3.77
Er 0.2500 0.0000 0.8036  4 Pr 3.33-3.39, 2 Er 3.40
Er 0.7500 0.0000 0.1964  4 Pr 3.33-3.39, 2 Er 3.40

Properties
SG: Pmma, No. 51
Energy above the most stable polymorph in this dataset (eV/f.u.): 0.53
V (A^3/atom): 34.745
Energy of formation (eV per atom): 0.27



> Which formula does entry 3 have?

Pr2Ho3Er5



> Number 1 is which compound?

PrHo7Er5



> Which value of V does entry 2 give?

32.448 A^3/atom



Copy entry 2 word for word.
Compound: PrHoEr
Source: the Alexandria database
Functional: PBE
Structure: optimized geometry

a b c (Å): 11.8519 3.5955 10.1038
angles (deg): 90.00 115.26 90.00
With the nearest neighbours (Å) after each atom.
Positions (direct):
Pr 0.9999 0.0000 0.2503  5 Ho 3.55-3.59, 5 Er 3.56-3.59, 2 Pr 3.60
Pr 0.0001 0.0000 0.7497  5 Ho 3.55-3.59, 5 Er 3.56-3.59, 2 Pr 3.60
Pr 0.4999 0.5000 0.2503  5 Ho 3.55-3.59, 5 Er 3.56-3.59, 2 Pr 3.60
Pr 0.5001 0.5000 0.7497  5 Ho 3.55-3.59, 5 Er 3.56-3.59, 2 Pr 3.60
Ho 0.1685 0.5000 0.0846  5 Pr 3.55-3.59, 2 Er 3.56, 5 Ho 3.57-3.61
Ho 0.3315 0.0000 0.9154  5 Pr 3.55-3.59, 2 Er 3.56, 5 Ho 3.57-3.61
Ho 0.6685 0.0000 0.0846  5 Pr 3.55-3.59, 2 Er 3.56, 5 Ho 3.57-3.61
Ho 0.8315 0.5000 0.9154  5 Pr 3.55-3.59, 2 Er 3.56, 5 Ho 3.57-3.61
Er 0.1683 0.5000 0.5836  5 Er 3.55-3.61, 5 Pr 3.56-3.59, 2 Ho 3.56
Er 0.3317 0.0000 0.4164  5 Er 3.55-3.61, 5 Pr 3.56-3.59, 2 Ho 3.56
Er 0.6683 0.0000 0.5836  5 Er 3.55-3.61, 5 Pr 3.56-3.59, 2 Ho 3.56
Er 0.8317 0.5000 0.4164  5 Er 3.55-3.61, 5 Pr 3.56-3.59, 2 Ho 3.56

Properties
SG: C2/m, No. 12
Energy above the most stable polymorph in this dataset (eV/f.u.): 0.00
V (A^3/atom): 32.448
Energy of formation (eV per atom): 0.02